This record from Alexandria via LeMat-Bulk describes a geometry-optimized Ta2NbHW structure. The functional is PBE.

Values from the calculation:
E above lowest polymorph: 0.0 meV per atom
Calculated volume: 73.12 Å³/cell

Lattice parameters (Å, degrees): 4.5521 4.5521 3.5287 90.00 90.00 90.00
Closest atoms and distances in Å follow each position.
Fractional coordinates of all 5 atoms:
Ta1 0.0000 0.5000 0.0000  2 H 2.28
Ta2 0.5000 0.0000 0.0000  2 H 2.28
Nb1 0.0000 0.0000 0.5000  2 H 1.76
H1 0.0000 0.0000 0.0000  2 Nb 1.76
W1 0.5000 0.5000 0.5000  8 Ta 2.88, 4 Nb 3.22